Entry 1:
DFT (PBE) results for crystalline LiInSi at its relaxed geometry.

CIF file:
```
data_LiInSi
_symmetry_space_group_name_H-M 'P n m a'
_symmetry_Int_Tables_number 62
_cell_length_a 7.0088
_cell_length_b 4.3410
_cell_length_c 8.1836
_cell_angle_alpha 90.00
_cell_angle_beta 90.00
_cell_angle_gamma 90.00
loop_
_symmetry_equiv_pos_as_xyz
'x,y,z'
'-x,-y,-z'
'-x+1/2,-y,z+1/2'
'x+1/2,y,-z+1/2'
'x+1/2,-y+1/2,-z+1/2'
'-x+1/2,y+1/2,z+1/2'
'-x,y+1/2,-z'
'x,-y+1/2,z'
loop_
_atom_site_label
_atom_site_fract_x
_atom_site_fract_y
_atom_site_fract_z
Li1 0.0021 0.2500 0.1475
In1 0.1576 0.7500 0.4056
Si1 0.2367 0.2500 0.5912
```

formation energy (no corrections) = 0.0 eV per formula unit



Entry 2:
DFT (PBE) results for crystalline LiInSi at its relaxed geometry.

CIF file:
```
data_LiInSi
_symmetry_space_group_name_H-M 'P 1 m 1'
_symmetry_Int_Tables_number 6
_cell_length_a 5.3134
_cell_length_b 2.8829
_cell_length_c 7.4547
_cell_angle_alpha 90.00
_cell_angle_beta 95.00
_cell_angle_gamma 90.00
loop_
_symmetry_equiv_pos_as_xyz
'x,y,z'
'x,-y,z'
loop_
_atom_site_label
_atom_site_fract_x
_atom_site_fract_y
_atom_site_fract_z
Li1 0.0000 0.0000 0.0000
Li2 0.2772 0.0000 0.6938
In1 0.2699 0.5000 0.3457
In2 0.7705 0.5000 0.6432
Si1 0.4826 0.5000 0.9642
Si2 0.7570 0.5000 0.2468
```

formation energy (no corrections) = 0.1 eV per formula unit



Entry 3:
DFT (PBE) results for crystalline LiIn4Si at its relaxed geometry.

CIF file:
```
data_LiIn4Si
_symmetry_space_group_name_H-M 'F -4 3 m'
_symmetry_Int_Tables_number 216
_symmetry_space_group_name_Hall 'F -4 2 3'
_cell_length_a 8.5530
_cell_length_b 8.5530
_cell_length_c 8.5530
_cell_angle_alpha 90.00
_cell_angle_beta 90.00
_cell_angle_gamma 90.00
loop_
_atom_site_label
_atom_site_fract_x
_atom_site_fract_y
_atom_site_fract_z
Li1 0.0000 0.0000 0.0000
In1 0.1249 0.1249 0.3751
Si1 0.2500 0.2500 0.7500
```

formation energy (no corrections) = 1.9 eV per formula unit



Entry 4:
DFT (PBE) results for crystalline LiInSi at its relaxed geometry.

CIF file:
```
data_LiInSi
_symmetry_space_group_name_H-M 'P 63 m c'
_symmetry_Int_Tables_number 186
_symmetry_space_group_name_Hall 'P 6c -2c'
_cell_length_a 4.4044
_cell_length_b 4.4044
_cell_length_c 7.2792
_cell_angle_alpha 90.00
_cell_angle_beta 90.00
_cell_angle_gamma 120.00
loop_
_atom_site_label
_atom_site_fract_x
_atom_site_fract_y
_atom_site_fract_z
Li1 0.0000 0.0000 0.0000
In1 0.3333 0.6667 0.2508
Si1 0.3333 0.6667 0.6250
```

formation energy (no corrections) = -0.3 eV per formula unit



Entry 5:
DFT (PBE) results for crystalline Li4InSi at its relaxed geometry.

CIF file:
```
data_Li4InSi
_symmetry_space_group_name_H-M 'P 6/m m m'
_symmetry_Int_Tables_number 191
_symmetry_space_group_name_Hall '-P 6 2'
_cell_length_a 4.4135
_cell_length_b 4.4135
_cell_length_c 5.7988
_cell_angle_alpha 90.00
_cell_angle_beta 90.00
_cell_angle_gamma 120.00
loop_
_atom_site_label
_atom_site_fract_x
_atom_site_fract_y
_atom_site_fract_z
Li1 0.3333 0.6667 0.2184
In1 0.0000 0.0000 0.5000
Si1 0.0000 0.0000 0.0000
```

energy above the most stable polymorph in this dataset = 0 meV per atom
formation energy (no corrections) = -1.3 eV per formula unit



Entry 6:
DFT (PBE) results for crystalline LiIn2Si at its relaxed geometry.

CIF file:
```
data_LiIn2Si
_symmetry_space_group_name_H-M 'P m m m'
_symmetry_Int_Tables_number 47
_cell_length_a 3.2738
_cell_length_b 3.9699
_cell_length_c 6.4160
_cell_angle_alpha 90.00
_cell_angle_beta 90.00
_cell_angle_gamma 90.00
loop_
_symmetry_equiv_pos_as_xyz
'x,y,z'
'-x,-y,-z'
'-x,-y,z'
'x,y,-z'
'x,-y,-z'
'-x,y,z'
'-x,y,-z'
'x,-y,z'
loop_
_atom_site_label
_atom_site_fract_x
_atom_site_fract_y
_atom_site_fract_z
Li1 0.0000 0.0000 0.0000
In1 0.5000 0.5000 0.2547
Si1 0.0000 0.0000 0.5000
```

formation energy (no corrections) = 0.3 eV per formula unit



Entry 7:
DFT (PBE) results for crystalline LiInSi2 at its relaxed geometry.

CIF file:
```
data_LiInSi2
_symmetry_space_group_name_H-M 'I 4/m m m'
_symmetry_Int_Tables_number 139
_symmetry_space_group_name_Hall '-I 4 2'
_cell_length_a 3.8805
_cell_length_b 3.8805
_cell_length_c 9.2269
_cell_angle_alpha 90.00
_cell_angle_beta 90.00
_cell_angle_gamma 90.00
loop_
_atom_site_label
_atom_site_fract_x
_atom_site_fract_y
_atom_site_fract_z
Li1 0.0000 0.0000 0.0000
In1 0.0000 0.0000 0.5000
Si1 0.0000 0.5000 0.2500
```

formation energy (no corrections) = 0.7 eV per formula unit



Entry 8:
DFT (PBE) results for crystalline LiInSi2 at its relaxed geometry.

CIF file:
```
data_LiInSi2
_symmetry_space_group_name_H-M 'R 3 m'
_symmetry_Int_Tables_number 160
_symmetry_space_group_name_Hall 'R 3 -2"'
_cell_length_a 3.7180
_cell_length_b 3.7180
_cell_length_c 21.0640
_cell_angle_alpha 90.00
_cell_angle_beta 90.00
_cell_angle_gamma 120.00
loop_
_atom_site_label
_atom_site_fract_x
_atom_site_fract_y
_atom_site_fract_z
Li1 0.0000 0.0000 0.0000
In1 0.0000 0.0000 0.2274
Si1 0.0000 0.0000 0.4584
Si2 0.0000 0.0000 0.7471
```

formation energy (no corrections) = 0.4 eV per formula unit